Here is crystalline NaGeIr2F at its relaxed geometry from Alexandria. Energies are from PBE.

The structure in extended XYZ format:
```
5
Lattice="4.6765 0.0000 0.0000 0.0000 4.6765 0.0000 0.0000 0.0000 4.5043" Properties=species:S:1:pos:R:3 pbc="T T T"
Na 0.0000 0.0000 0.0000
Ge 2.3383 2.3383 2.2522
Ir 0.0000 2.3383 2.2522
Ir 2.3383 0.0000 2.2522
F 2.3383 2.3383 0.0000
```

magnetic moment	1.74	μB per formula unit
N(E_F)	5.45	states/eV/cell
E_form (uncorrected)	0.275	eV per atom